Record 1
Below is a geometry-optimized CsCdTeMo structure, with properties calculated at the PBE level.

M_tot in μB per formula unit: 0.00
Density of states at the Fermi level in states/eV/cell: 3.925
Density in g/cm3: 5.84
E in eV/cell: -13.8
Uncorrected formation energy in meV/atom: 494

a b c (Å): 6.4303 3.5131 6.5270
angles (deg): 90.00 115.24 90.00
Positions (direct):
Cs1 0.0000 0.0000 0.0000
Cd1 0.6651 0.5000 0.3918
Te1 0.3772 0.5000 0.6844
Mo1 0.0421 0.0000 0.5126

=====

Record 2
Below is a geometry-optimized CsCdTeMo structure, with properties calculated at the PBE level.

M_tot in μB per formula unit: 0.00
Density of states at the Fermi level in states/eV/cell: 2.631
Density in g/cm3: 6.69
E in eV/cell: -14.6
Uncorrected formation energy in meV/atom: 281

a b c (Å): 3.6827 3.6827 9.9064
angles (deg): 90.00 90.00 120.00
Positions (direct):
Cs1 0.0000 0.0000 0.0000
Cd1 0.6667 0.3333 0.3193
Te1 0.6667 0.3333 0.6856
Mo1 0.3333 0.6667 0.5192

=====

Record 3
Below is a geometry-optimized Cs2TiCdMo structure, with properties calculated at the PBE level.

M_tot in μB per formula unit: 0.48
Energy relative to the elements in kJ/mol of formula units: 573.2
Density of states at the Fermi level in states/eV/cell: 5.915
Density in g/cm3: 3.69
E in eV/cell: -15.4

a b c (Å): 7.2019 7.2019 4.5294
angles (deg): 90.00 90.00 90.00
Positions (direct):
Cs1 0.0000 0.5000 0.0000
Cs2 0.5000 0.0000 0.0000
Ti1 0.0000 0.0000 0.0000
Cd1 0.5000 0.5000 0.5000
Mo1 0.0000 0.0000 0.5000

=====

Record 4
Below is a geometry-optimized CsCdN3 structure, with properties calculated at the PBE level.

M_tot in μB per formula unit: 0.00
Density of states at the Fermi level in states/eV/cell: 2.351
Density in g/cm3: 5.85
E in eV/cell: -12.3
Uncorrected formation energy in meV/atom: 2897

a b c (Å): 4.3371 4.3371 4.3371
angles (deg): 90.00 90.00 90.00
Positions (direct):
Cs1 0.0000 0.0000 0.0000
Cd1 0.5000 0.5000 0.5000
N1 0.0000 0.0000 0.5000
N2 0.0000 0.5000 0.0000
N3 0.5000 0.0000 0.0000

=====

Record 5
Below is a geometry-optimized Cs3CdN structure, with properties calculated at the PBE level.

M_tot in μB per formula unit: 1.55
Density of states at the Fermi level in states/eV/cell: 4.181
Density in g/cm3: 3.67
E in eV/cell: -9.6
Uncorrected formation energy in meV/atom: 439

a b c (Å): 6.1963 6.1963 6.1963
angles (deg): 90.00 90.00 90.00
Positions (direct):
Cs1 0.0000 0.0000 0.5000
Cs2 0.0000 0.5000 0.0000
Cs3 0.5000 0.0000 0.0000
Cd1 0.5000 0.5000 0.5000
N1 0.0000 0.0000 0.0000

=====

Record 6
Below is a geometry-optimized Cs2CdN structure, with properties calculated at the PBE level.

M_tot in μB per formula unit: 1.00
Density of states at the Fermi level in states/eV/cell: 3.580
Density in g/cm3: 4.37
E in eV/cell: -7.7
Uncorrected formation energy in meV/atom: 819

a b c (Å): 5.9490 5.9490 5.9490
angles (deg): 60.00 60.00 60.00
Positions (direct):
Cs1 0.2500 0.2500 0.2500
Cs2 0.7500 0.7500 0.7500
Cd1 0.0000 0.0000 0.0000
N1 0.5000 0.5000 0.5000